NaCdTcF6 (GGA-PBE, relaxed); calculated total energy = -4.797 eV per atom; N(E_F) = 11.95 states/eV/cell; formation energy without anion corrections = -2.15 eV per atom; crystal system = trigonal
1.0
5.618 0.000 0.000
-2.809 4.865 0.000
0.000 0.000 9.484
Na Cd Tc F
2 2 2 12
direct
0.333 0.667 0.250 Na
0.667 0.333 0.750 Na
0.000 0.000 0.000 Cd
0.000 0.000 0.500 Cd
0.333 0.667 0.750 Tc
0.667 0.333 0.250 Tc
0.032 0.361 0.630 F
0.032 0.672 0.870 F
0.328 0.361 0.870 F
0.328 0.968 0.630 F
0.361 0.032 0.130 F
0.361 0.328 0.370 F
0.639 0.672 0.630 F
0.639 0.968 0.870 F
0.672 0.032 0.370 F
0.672 0.639 0.130 F
0.968 0.328 0.130 F
0.968 0.639 0.370 F